First-principles (PBE with a Hubbard U) data for a relaxed FeSO4 crystal, as listed in Alexandria via LeMat-Bulk.

```
FeSO4
1.0
4.9258 0.0847 0.0000
-0.5837 4.8919 0.0000
0.0000 0.0000 6.3522
O Fe S
8 2 2
Cartesian
3.1472 1.6366 5.9362
1.2061 0.5323 1.5881
3.1360 4.4442 4.7642
1.1949 3.3400 2.7601
0.3640 1.2672 4.7642
3.9782 3.7094 1.5881
3.1472 1.6366 3.5922
1.1949 3.3400 0.4161
2.7229 2.0068 1.5881
1.6192 2.9698 4.7642
3.8609 1.0139 4.7642
0.4813 3.9627 1.5881
```

Values from the calculation:
- SG = No. 63
- total moment (Bohr magnetons per cell) = 8.00
- calculated total energy (eV per atom) = -6.3684